[1]
A plane-wave DFT calculation with PBE-GGA was carried out for crystalline H3Pd3Au at its relaxed geometry.

Summary:
As for the volume: 162.5 Å³ per cell. For the total energy, the calculation gives -4.14 eV per atom. The value obtained for the polymorph energy (0 for the lowest one) is 4.7 meV/atom.

abc: 7.4770 7.4770 7.4770
angles: 41.01 41.01 41.01
With the nearest neighbours (Å) after each atom.
Fractional coordinates of all 14 atoms:
H  0.0384  0.3706  0.7027  4 Pd 1.80-2.00
H  0.2973  0.9616  0.6294  4 Pd 1.80-2.00
H  0.3706  0.7027  0.0384  4 Pd 1.80-2.00
H  0.6294  0.2973  0.9616  4 Pd 1.80-2.00
H  0.7027  0.0384  0.3706  4 Pd 1.80-2.00
H  0.9616  0.6294  0.2973  4 Pd 1.80-2.00
Pd  0.0600  0.7256  0.3946  4 H 1.80-2.00
Pd  0.2744  0.6054  0.9400  4 H 1.80-2.00
Pd  0.3946  0.0600  0.7256  4 H 1.80-2.00
Pd  0.6054  0.9400  0.2744  4 H 1.80-2.00
Pd  0.7256  0.3946  0.0600  4 H 1.80-2.00
Pd  0.9400  0.2744  0.6054  4 H 1.80-2.00
Au  0.1664  0.1664  0.1664  6 Pd 2.80, 3 Au 3.02
Au  0.8336  0.8336  0.8336  6 Pd 2.80, 3 Au 3.02

***

[2]
A plane-wave DFT calculation with PBE-GGA was carried out for crystalline NaSr2Tc at its relaxed geometry.

Summary:
As for the volume: 126.3 Å³ per cell. For the total energy, the calculation gives -3.08 eV per atom. The calculation puts the energy of formation from the pure elements at 0.678 eV per atom. The value obtained for the polymorph energy (0 for the lowest one) is 0.0 meV/atom.

abc: 5.6323 5.6323 5.6323
angles: 60.00 60.00 60.00
With the nearest neighbours (Å) after each atom.
Fractional coordinates of all 4 atoms:
Na  0.0000  0.0000  0.0000  8 Sr 3.45
Sr  0.2500  0.2500  0.2500  4 Tc 3.45, 4 Na 3.45
Sr  0.7500  0.7500  0.7500  4 Na 3.45, 4 Tc 3.45
Tc  0.5000  0.5000  0.5000  8 Sr 3.45

***

[3]
A plane-wave DFT calculation with PBE-GGA was carried out for crystalline BaAc2PuN4 at its relaxed geometry.

Summary:
As for the volume: 346.4 Å³ per cell. The energy relative to the elements, uncorrected is -0.86 eV per atom. For the total energy, the calculation gives -8.08 eV per atom.

abc: 6.9282 6.9282 13.4129
angles: 90.00 90.00 147.46
With the nearest neighbours (Å) after each atom.
Fractional coordinates of all 16 atoms:
Ba  0.0979  0.9021  0.7500  6 N 3.10-3.17
Ba  0.9021  0.0979  0.2500  6 N 3.10-3.17
Ac  0.3730  0.6270  0.5370  3 N 2.57-2.62
Ac  0.3730  0.6270  0.9630  3 N 2.57-2.62
Ac  0.6270  0.3730  0.0370  3 N 2.57-2.62
Ac  0.6270  0.3730  0.4630  3 N 2.57-2.62
Pu  0.1717  0.8283  0.2500  4 N 2.11-2.26
Pu  0.8283  0.1717  0.7500  4 N 2.11-2.26
N  0.0000  0.0000  0.0000  4 Ac 2.62
N  0.0000  0.0000  0.5000  4 Ac 2.62
N  0.2643  0.7357  0.1219  1 Pu 2.11
N  0.2643  0.7357  0.3781  1 Pu 2.11
N  0.4158  0.5842  0.7500  2 Pu 2.26
N  0.5842  0.4158  0.2500  2 Pu 2.26
N  0.7357  0.2643  0.6219  1 Pu 2.11
N  0.7357  0.2643  0.8781  1 Pu 2.11

***

[4]
A plane-wave DFT calculation with PBE-GGA was carried out for crystalline Sm5Tm12Th2 at its relaxed geometry.

Summary:
As for the volume: 628.4 Å³ per cell. For the total energy, the calculation gives -4.53 eV per atom. The calculation puts the energy of formation from the pure elements at 0.314 eV per atom. The value obtained for the polymorph energy (0 for the lowest one) is 237.7 meV/atom.

abc: 9.2447 9.2447 10.7507
angles: 103.42 103.42 44.96
With the nearest neighbours (Å) after each atom.
Fractional coordinates of all 19 atoms:
Sm  0.0000  0.0000  0.0000  6 Tm 3.10-3.41
Sm  0.2476  0.2476  0.0069  9 Tm 3.42-3.74, 2 Sm 3.54
Sm  0.2654  0.2654  0.5022  8 Tm 3.57-3.89, 2 Sm 3.57
Sm  0.7346  0.7346  0.4978  8 Tm 3.57-3.89, 2 Sm 3.57
Sm  0.7524  0.7524  0.9931  9 Tm 3.42-3.74, 2 Sm 3.54
Tm  0.0269  0.0269  0.2965  1 Sm 3.10, 2 Th 3.12, 2 Tm 3.21
Tm  0.0851  0.5988  0.2723  4 Tm 3.17-3.55, 1 Th 3.18, 2 Sm 3.42-3.46
Tm  0.1119  0.5880  0.8076  4 Tm 3.17-3.42, 3 Sm 3.41-3.52
Tm  0.4012  0.9149  0.7277  4 Tm 3.17-3.55, 1 Th 3.18, 2 Sm 3.42-3.46
Tm  0.4120  0.8881  0.1924  4 Tm 3.17-3.42, 3 Sm 3.41-3.52
Tm  0.4711  0.4711  0.1515  5 Tm 3.36-3.63, 1 Sm 3.74
Tm  0.5289  0.5289  0.8485  5 Tm 3.36-3.63, 1 Sm 3.74
Tm  0.5880  0.1119  0.8076  4 Tm 3.17-3.42, 3 Sm 3.41-3.52
Tm  0.5988  0.0851  0.2723  4 Tm 3.17-3.55, 1 Th 3.18, 2 Sm 3.42-3.46
Tm  0.8881  0.4120  0.1924  4 Tm 3.17-3.42, 3 Sm 3.41-3.52
Tm  0.9149  0.4012  0.7277  4 Tm 3.17-3.55, 1 Th 3.18, 2 Sm 3.42-3.46
Tm  0.9731  0.9731  0.7035  1 Sm 3.10, 2 Th 3.12, 2 Tm 3.21
Th  0.2921  0.7079  0.5000  1 Th 2.94, 4 Tm 3.12-3.18
Th  0.7079  0.2921  0.5000  1 Th 2.94, 4 Tm 3.12-3.18

***

[5]
A plane-wave DFT calculation with PBE-GGA was carried out for crystalline CaLaPr14 at its relaxed geometry.

Summary:
As for the volume: 590.0 Å³ per cell. For the total energy, the calculation gives -4.58 eV per atom. The calculation puts the energy of formation from the pure elements at 0.037 eV per atom.

abc: 12.0750 7.5119 7.5119
angles: 59.98 90.00 90.00
With the nearest neighbours (Å) after each atom.
Fractional coordinates of all 16 atoms:
Ca  0.0000  0.0000  0.0000  10 Pr 3.75-3.76, 2 La 3.75
La  0.0000  0.4976  0.4976  10 Pr 3.70-3.80, 2 Ca 3.75
Pr  0.0000  0.0042  0.4972  8 Pr 3.70-3.81, 2 La 3.71-3.80, 2 Ca 3.75-3.76
Pr  0.0000  0.4972  0.0042  8 Pr 3.70-3.81, 2 La 3.71-3.80, 2 Ca 3.75-3.76
Pr  0.2498  0.3332  0.3332  1 La 3.70, 11 Pr 3.70-3.76
Pr  0.2507  0.8305  0.8305  11 Pr 3.70-3.82, 1 Ca 3.75
Pr  0.2515  0.3383  0.8307  10 Pr 3.69-3.82, 1 La 3.73, 1 Ca 3.75
Pr  0.2515  0.8307  0.3383  10 Pr 3.69-3.82, 1 La 3.73, 1 Ca 3.75
Pr  0.5000  0.9998  0.9998  12 Pr 3.72-3.76
Pr  0.5000  0.9999  0.4996  12 Pr 3.69-3.76
Pr  0.5000  0.4996  0.9999  12 Pr 3.69-3.76
Pr  0.5000  0.5001  0.5001  12 Pr 3.69-3.76
Pr  0.7485  0.3383  0.8307  10 Pr 3.69-3.82, 1 La 3.73, 1 Ca 3.75
Pr  0.7485  0.8307  0.3383  10 Pr 3.69-3.82, 1 La 3.73, 1 Ca 3.75
Pr  0.7493  0.8305  0.8305  11 Pr 3.70-3.82, 1 Ca 3.75
Pr  0.7502  0.3332  0.3332  1 La 3.70, 11 Pr 3.70-3.76

***

[6]
A plane-wave DFT calculation with PBE-GGA was carried out for crystalline Li8Sn6Rh at its relaxed geometry.

Summary:
As for the volume: 303.1 Å³ per cell. For the total energy, the calculation gives -3.41 eV per atom. The calculation puts the energy of formation from the pure elements at -0.303 eV per atom.

abc: 7.3410 7.3410 7.3410
angles: 63.79 63.79 63.79
With the nearest neighbours (Å) after each atom.
Fractional coordinates of all 15 atoms:
Li  0.0931  0.0931  0.0931  6 Sn 2.94-3.00, 4 Li 2.99-3.25
Li  0.1571  0.6293  0.3317  3 Sn 2.81-2.84, 1 Rh 2.89, 2 Li 2.99-3.12
Li  0.3317  0.1571  0.6293  3 Sn 2.81-2.84, 1 Rh 2.89, 2 Li 2.99-3.12
Li  0.3707  0.6683  0.8429  3 Sn 2.81-2.84, 1 Rh 2.89, 2 Li 2.99-3.12
Li  0.6293  0.3317  0.1571  3 Sn 2.81-2.84, 1 Rh 2.89, 2 Li 2.99-3.12
Li  0.6683  0.8429  0.3707  3 Sn 2.81-2.84, 1 Rh 2.89, 2 Li 2.99-3.12
Li  0.8429  0.3707  0.6683  3 Sn 2.81-2.84, 1 Rh 2.89, 2 Li 2.99-3.12
Li  0.9069  0.9069  0.9069  6 Sn 2.94-3.00, 4 Li 2.99-3.25
Sn  0.0738  0.5158  0.7731  5 Li 2.81-3.00, 1 Rh 2.86, 1 Sn 2.95
Sn  0.2269  0.9262  0.4842  5 Li 2.81-3.00, 1 Rh 2.86, 1 Sn 2.95
Sn  0.4842  0.2269  0.9262  5 Li 2.81-3.00, 1 Rh 2.86, 1 Sn 2.95
Sn  0.5158  0.7731  0.0738  5 Li 2.81-3.00, 1 Rh 2.86, 1 Sn 2.95
Sn  0.7731  0.0738  0.5158  5 Li 2.81-3.00, 1 Rh 2.86, 1 Sn 2.95
Sn  0.9262  0.4842  0.2269  5 Li 2.81-3.00, 1 Rh 2.86, 1 Sn 2.95
Rh  0.5000  0.5000  0.5000  6 Sn 2.86, 6 Li 2.89

***

[7]
A plane-wave DFT calculation with PBE-GGA was carried out for crystalline Mg2AlHPb at its relaxed geometry.

Summary:
As for the volume: 171.1 Å³ per cell. For the total energy, the calculation gives -1.88 eV per atom. The value obtained for the polymorph energy (0 for the lowest one) is 828.7 meV/atom.

abc: 5.5567 5.5567 5.5411
angles: 90.00 90.00 90.00
With the nearest neighbours (Å) after each atom.
Fractional coordinates of all 5 atoms:
Mg  0.0000  0.5000  0.0000  2 Pb 2.78
Mg  0.5000  0.0000  0.0000  2 Pb 2.78
Al  0.0000  0.0000  0.5000  2 Pb 2.77
H  0.5000  0.5000  0.5000  8 Mg 3.92, 4 Al 3.93
Pb  0.0000  0.0000  0.0000  2 Al 2.77, 4 Mg 2.78

***

[8]
A plane-wave DFT calculation with PBE-GGA was carried out for crystalline Tl5C at its relaxed geometry.

Summary:
As for the volume: 178.3 Å³ per cell. For the total energy, the calculation gives -2.76 eV per atom. The calculation puts the energy of formation from the pure elements at 0.753 eV per atom. The value obtained for the polymorph energy (0 for the lowest one) is 57.9 meV/atom.

abc: 7.5821 7.5821 3.5809
angles: 90.00 90.00 120.00
With the nearest neighbours (Å) after each atom.
Fractional coordinates of all 6 atoms:
Tl  0.0000  0.7538  0.0000  2 C 2.59
Tl  0.2462  0.2462  0.0000  2 C 2.59
Tl  0.3333  0.6667  0.5000  8 Tl 3.42-3.58
Tl  0.6667  0.3333  0.5000  8 Tl 3.42-3.58
Tl  0.7538  0.0000  0.0000  2 C 2.59
C  0.0000  0.0000  0.5000  6 Tl 2.59

***

Q: Look up the volume of the fifth one.
A: 590.0 Å³ per cell